This record from the Alexandria database describes crystalline Tb4Pm2Y5 at its relaxed geometry. The functional is PBE.

Cell and atoms, written as POSCAR:
```
Tb4Pm2Y5
1.0
0.5148 -3.3987 -0.5393
2.3261 -0.9794 8.4007
-11.9502 -0.3298 1.8796
Tb Pm Y
4 2 5
Cartesian
-2.7892 -2.8804 4.2634
-0.2271 -0.5381 3.1753
-6.3200 -1.8275 5.4776
-8.8822 -4.1698 6.5657
-8.7036 -3.6161 3.2448
-0.4057 -1.0918 6.4962
-3.0183 -0.6886 1.4546
-6.0910 -4.0194 8.2864
-3.5093 -1.7490 7.6710
0.2574 -1.6994 -0.2697
-5.6000 -2.9589 2.0700
```

Results
- ΔH_f (0 K) (eV/atom) = 0.15
- space group = C2/m (12)
- energy relative to the lowest polymorph listed for this composition (eV/atom) = 0.000

This record from the Alexandria database describes crystalline Nd4SmSc at its relaxed geometry. The functional is PBE.

Cell and atoms, written as POSCAR:
```
Nd4SmSc
1.0
6.0747 0.0915 1.3925
2.9833 5.4476 0.5151
-0.2910 -1.5986 6.0184
Nd Sm Sc
4 1 1
Cartesian
3.0146 1.8440 0.6357
5.7525 2.0964 7.2903
7.4368 3.8382 4.6065
1.3302 0.1023 3.3194
4.3835 1.9702 3.9630
0.0000 0.0000 0.0000
```

Results
- ΔH_f (0 K) (eV/atom) = 0.04
- space group = C2/m (12)
- energy relative to the lowest polymorph listed for this composition (eV/atom) = 0.000